No. 1
# BaLa2Pt (PBE, relaxed)
# offset from the most stable computed form = 145 meV/atom
# formation energy from the elements = -0.427 eV per atom
# density of states at the Fermi level = 1.158 states/eV/atom
data_BaLa2Pt
_chemical_formula_sum 'Ba1 La2 Pt1'
_symmetry_space_group_name_H-M 'P 4 m m'
_symmetry_Int_Tables_number 99
_cell_length_a 3.8381
_cell_length_b 3.8381
_cell_length_c 9.4888
_cell_angle_alpha 90.00
_cell_angle_beta 90.00
_cell_angle_gamma 90.00
loop_
_symmetry_equiv_pos_as_xyz
'x,y,z'
'-y,x,z'
'-x,-y,z'
'y,-x,z'
'-x,y,z'
'y,x,z'
'x,-y,z'
'-y,-x,z'
loop_
_atom_site_label
_atom_site_type_symbol
_atom_site_fract_x
_atom_site_fract_y
_atom_site_fract_z
_atom_site_occupancy
Ba1 Ba 0.0000 0.0000 0.0000 1
La1 La 0.0000 0.0000 0.6234 1
La2 La 0.5000 0.5000 0.3472 1
Pt1 Pt 0.5000 0.5000 0.7633 1


No. 2
# BaLaPt2 (PBE, relaxed)
# offset from the most stable computed form = 0 meV/atom
# formation energy from the elements = -0.949 eV per atom
# density of states at the Fermi level = 0.434 states/eV/atom
data_BaLaPt2
_chemical_formula_sum 'Ba1 La1 Pt2'
_symmetry_space_group_name_H-M 'P 1 2/m 1'
_symmetry_Int_Tables_number 10
_cell_length_a 3.7622
_cell_length_b 3.7281
_cell_length_c 7.6378
_cell_angle_alpha 90.00
_cell_angle_beta 90.06
_cell_angle_gamma 90.00
loop_
_symmetry_equiv_pos_as_xyz
'x,y,z'
'-x,-y,-z'
'-x,y,-z'
'x,-y,z'
loop_
_atom_site_label
_atom_site_type_symbol
_atom_site_fract_x
_atom_site_fract_y
_atom_site_fract_z
_atom_site_occupancy
Ba1 Ba 0.0000 0.0000 0.0000 1
La1 La 0.0000 0.0000 0.5000 1
Pt1 Pt 0.4997 0.5000 0.2936 1


No. 3
# BaLaPt2 (PBE, relaxed)
# offset from the most stable computed form = 450 meV/atom
# formation energy from the elements = -0.500 eV per atom
# density of states at the Fermi level = 0.847 states/eV/atom
data_BaLaPt2
_chemical_formula_sum 'Ba4 La4 Pt8'
_symmetry_space_group_name_H-M 'F -4 3 m'
_symmetry_Int_Tables_number 216
_symmetry_space_group_name_Hall 'F -4 2 3'
_cell_length_a 7.2330
_cell_length_b 7.2330
_cell_length_c 7.2330
_cell_angle_alpha 90.00
_cell_angle_beta 90.00
_cell_angle_gamma 90.00
loop_
_atom_site_label
_atom_site_type_symbol
_atom_site_fract_x
_atom_site_fract_y
_atom_site_fract_z
_atom_site_occupancy
Ba1 Ba 0.0000 0.0000 0.0000 1
La1 La 0.2500 0.2500 0.2500 1
Pt1 Pt 0.0000 0.0000 0.5000 1
Pt2 Pt 0.2500 0.2500 0.7500 1


No. 4
# BaLaPt10 (PBE, relaxed)
# formation energy from the elements = -0.642 eV per atom
# density of states at the Fermi level = 0.557 states/eV/atom
data_BaLaPt10
_chemical_formula_sum 'Ba1 La1 Pt10'
_symmetry_space_group_name_H-M 'P m m m'
_symmetry_Int_Tables_number 47
_cell_length_a 4.3927
_cell_length_b 5.5536
_cell_length_c 9.5792
_cell_angle_alpha 90.00
_cell_angle_beta 90.00
_cell_angle_gamma 90.00
loop_
_symmetry_equiv_pos_as_xyz
'x,y,z'
'-x,-y,-z'
'-x,-y,z'
'x,y,-z'
'x,-y,-z'
'-x,y,z'
'-x,y,-z'
'x,-y,z'
loop_
_atom_site_label
_atom_site_type_symbol
_atom_site_fract_x
_atom_site_fract_y
_atom_site_fract_z
_atom_site_occupancy
Ba1 Ba 0.0000 0.0000 0.0000 1
La1 La 0.0000 0.5000 0.5000 1
Pt1 Pt 0.0000 0.0000 0.3382 1
Pt2 Pt 0.0000 0.5000 0.1733 1
Pt3 Pt 0.5000 0.0000 0.5000 1
Pt4 Pt 0.5000 0.2533 0.2564 1
Pt5 Pt 0.5000 0.5000 0.0000 1